# GGA-PBE Pu2MgU, optimized geometry
# - calculated formation energy (eV per atom) = 0.70
data_Pu2MgU
_chemical_formula_sum 'Pu6 Mg3 U3'
_cell_length_a 3.6680
_cell_length_b 3.6680
_cell_length_c 28.1880
_cell_angle_alpha 90.00
_cell_angle_beta 90.00
_cell_angle_gamma 120.00
_space_group_name_H-M_alt 'R -3 m'
_space_group_IT_number 166
_space_group_name_Hall '-R 3 2"'
loop_
_atom_site_label
_atom_site_type_symbol
_atom_site_fract_x
_atom_site_fract_y
_atom_site_fract_z
Pu1 Pu 0.0000 0.0000 0.1143
Mg1 Mg 0.0000 0.0000 0.0000
U1 U 0.0000 0.0000 0.5000

# GGA-PBE Ca3PmSm3S8, optimized geometry
# - formation energy (no corrections) (eV/atom) = -2.068
data_Ca3PmSm3S8
_chemical_formula_sum 'Ca9 Pm3 Sm9 S24'
_cell_length_a 8.0316
_cell_length_b 8.0316
_cell_length_c 19.8039
_cell_angle_alpha 90.00
_cell_angle_beta 90.00
_cell_angle_gamma 120.00
_space_group_name_H-M_alt 'R -3 m'
_space_group_IT_number 166
_space_group_name_Hall '-R 3 2"'
loop_
_atom_site_label
_atom_site_type_symbol
_atom_site_fract_x
_atom_site_fract_y
_atom_site_fract_z
Ca1 Ca 0.0000 0.5000 0.0000
Pm1 Pm 0.0000 0.0000 0.5000
Sm1 Sm 0.0000 0.5000 0.5000
S1 S 0.0000 0.0000 0.2502
S2 S 0.0018 0.5009 0.2484

# GGA-PBE Ca3BiB, optimized geometry
# - calculated formation energy (eV per atom) = 0.73
# - offset from the most stable computed form (eV/f.u.) = 4.542
data_Ca3BiB
_chemical_formula_sum 'Ca3 Bi1 B1'
_cell_length_a 5.942
_cell_length_b 5.942
_cell_length_c 5.942
_cell_angle_alpha 90.00
_cell_angle_beta 90.00
_cell_angle_gamma 90.00
_space_group_name_H-M_alt 'P m -3 m'
_space_group_IT_number 221
_space_group_name_Hall '-P 4 2 3'
loop_
_atom_site_label
_atom_site_type_symbol
_atom_site_fract_x
_atom_site_fract_y
_atom_site_fract_z
Ca1 Ca 0.000 0.000 0.500
Bi1 Bi 0.000 0.000 0.000
B1 B 0.500 0.500 0.500

# GGA-PBE Tb2Pm15Mg2, optimized geometry
# - calculated formation energy (eV per atom) = 0.22
data_Tb2Pm15Mg2
_chemical_formula_sum 'Tb6 Pm45 Mg6'
_cell_length_a 11.2949
_cell_length_b 11.2949
_cell_length_c 17.6043
_cell_angle_alpha 90.00
_cell_angle_beta 90.00
_cell_angle_gamma 120.00
_space_group_name_H-M_alt 'R -3 m'
_space_group_IT_number 166
_space_group_name_Hall '-R 3 2"'
loop_
_atom_site_label
_atom_site_type_symbol
_atom_site_fract_x
_atom_site_fract_y
_atom_site_fract_z
Tb1 Tb 0.0000 0.0000 0.1834
Pm1 Pm 0.0000 0.2961 0.5000
Pm2 Pm 0.0000 0.5000 0.0000
Pm3 Pm 0.0160 0.5080 0.6397
Mg1 Mg 0.0000 0.0000 0.4070